No. 1
A plane-wave DFT calculation with PBE was carried out for crystalline Pu4GeP at its relaxed geometry.

Geometry as POSCAR:
```
Pu4GeP
1.0
4.073 -5.810 0.000
4.073 5.810 0.000
-2.145 0.000 5.045
Pu Ge P
8 2 2
Direct
0.061 0.662 0.887
0.176 0.402 0.636
0.338 0.939 0.613
0.402 0.176 0.136
0.598 0.824 0.864
0.662 0.061 0.387
0.824 0.598 0.364
0.939 0.338 0.113
0.398 0.602 0.250
0.602 0.398 0.750
0.012 0.988 0.250
0.988 0.012 0.750
```

E_form, meV/atom: -424
Calculated volume, Å³ per cell: 239
E, eV for the cell shown: -139.79

=====

No. 2
A plane-wave DFT calculation with PBE was carried out for crystalline Pu8GeP5 at its relaxed geometry.

Geometry as POSCAR:
```
Pu8GeP5
1.0
-4.274 4.274 4.283
4.274 -4.274 4.283
4.274 4.274 -4.283
Pu Ge P
8 1 5
Direct
0.129 0.735 0.755
0.134 0.233 0.757
0.265 0.020 0.394
0.476 0.376 0.243
0.624 0.866 0.100
0.626 0.871 0.606
0.767 0.524 0.900
0.980 0.374 0.245
0.750 0.250 0.500
0.000 0.000 0.000
0.250 0.628 0.126
0.372 0.497 0.621
0.503 0.124 0.874
0.876 0.750 0.379
```

E_form, meV/atom: -942
Calculated volume, Å³ per cell: 313
E, eV for the cell shown: -159.51

=====

No. 3
A plane-wave DFT calculation with PBE was carried out for crystalline Pu4GeTe2P at its relaxed geometry.

Geometry as POSCAR:
```
Pu4GeTe2P
1.0
7.342 0.000 0.000
0.000 4.230 0.000
-2.455 0.000 7.024
Pu Ge Te P
4 1 2 1
Direct
0.235 0.000 0.218
0.251 0.500 0.775
0.749 0.500 0.225
0.765 0.000 0.782
0.500 0.000 0.000
0.000 0.000 0.500
0.500 0.500 0.500
0.000 0.500 0.000
```

Uncorrected formation energy, eV/f.u.: -6.924
Calculated volume, Å³ per cell: 218
E, eV for the cell shown: -80.56

=====

No. 4
A plane-wave DFT calculation with PBE was carried out for crystalline RbGeP3 at its relaxed geometry.

Geometry as POSCAR:
```
RbGeP3
1.0
5.293 0.000 0.000
0.000 5.293 0.000
0.000 0.000 5.293
Rb Ge P
1 1 3
Direct
0.000 0.000 0.000
0.500 0.500 0.500
0.000 0.000 0.500
0.000 0.500 0.000
0.500 0.000 0.000
```

Relative energy among the computed polymorphs, eV per formula unit: 11.37
E_form, meV/atom: 2135
Calculated volume, Å³ per cell: 148
E, eV for the cell shown: -11.14

=====

| no. | DOS at the Fermi energy (states/eV/cell) |
| --- | --- |
| 1 | 30.99 |
| 2 | 44.16 |
| 3 | 44.30 |
| 4 | 4.13 |